This record from Alexandria via LeMat-Bulk describes a geometry-optimized Rb2HgSbAs structure. The functional is PBE. Values from VASP.

Output
Its raw formation energy is -0.6 eV per formula unit. The value obtained for the total magnetization is 0.000 μB per atom. Its raw total energy is -11.66 eV/cell.

Cell and atoms, written as Quantum ESPRESSO input:
```
&SYSTEM
  ibrav = 0, nat = 5, ntyp = 4
/
ATOMIC_SPECIES
Sb 121.76 Sb.upf
Rb 85.47 Rb.upf
As 74.92 As.upf
Hg 200.59 Hg.upf
CELL_PARAMETERS angstrom
-2.5732 1.1913 6.1176
-5.0129 -4.3282 -1.2657
2.8886 -3.9244 1.9792
ATOMIC_POSITIONS angstrom
Sb 1.4443 -1.9622 0.9896
Rb -2.5065 -2.1641 -0.6329
Rb -1.2866 0.5956 3.0588
As 0.0000 0.0000 0.0000
Hg -2.3488 -3.5307 3.4155
```